No. 1
The following is a PBE-GGA calculation of a relaxed structure of Sm3Ho2Cd3, from the Alexandria database. Values from VASP.

Output
For the distance to the lowest polymorph of the same formula, the calculation gives 0.76 eV per formula unit. The space group is P-62m, No. 189. The energy of formation from the pure elements comes out at -0.14 eV per atom.

Cell and atoms, written as Quantum ESPRESSO input:
```
&SYSTEM
  ibrav = 0, nat = 8, ntyp = 3
/
ATOMIC_SPECIES
Sm 150.36 Sm.upf
Cd 112.41 Cd.upf
Ho 164.93 Ho.upf
CELL_PARAMETERS angstrom
3.394 0.000 0.000
0.000 8.742 0.000
0.000 -4.371 7.571
ATOMIC_POSITIONS crystal
Sm 0.000 0.237 0.000
Sm 0.000 0.000 0.237
Sm 0.000 0.763 0.763
Cd 0.500 0.000 0.612
Cd 0.500 0.612 0.000
Cd 0.500 0.388 0.388
Ho 0.000 0.667 0.333
Ho 0.000 0.333 0.667
```

No. 2
The following is a PBE-GGA calculation of a relaxed structure of BaSiTc2, from the Alexandria database. Values from VASP.

Output
The calculation puts the uncorrected formation energy at 1.07 eV per atom. The space group is Pmmm, No. 47.

Cell and atoms, written as Quantum ESPRESSO input:
```
&SYSTEM
  ibrav = 0, nat = 4, ntyp = 3
/
ATOMIC_SPECIES
Tc 98.00 Tc.upf
Ba 137.33 Ba.upf
Si 28.09 Si.upf
CELL_PARAMETERS angstrom
3.190 0.000 0.000
0.000 5.483 0.000
0.000 0.000 4.359
ATOMIC_POSITIONS crystal
Tc 0.000 0.000 0.000
Tc 0.500 0.500 0.000
Ba 0.500 0.000 0.500
Si 0.000 0.500 0.500
```

No. 3
The following is a PBE-GGA calculation of a relaxed structure of SmErCu4, from the Alexandria database. Values from VASP.

Output
For the distance to the lowest polymorph of the same formula, the calculation gives 0.64 eV per formula unit. The space group is F-43m, No. 216. The energy of formation from the pure elements comes out at -0.15 eV per atom.

Cell and atoms, written as Quantum ESPRESSO input:
```
&SYSTEM
  ibrav = 0, nat = 6, ntyp = 3
/
ATOMIC_SPECIES
Cu 63.55 Cu.upf
Sm 150.36 Sm.upf
Er 167.26 Er.upf
CELL_PARAMETERS angstrom
-4.084 -3.156 1.100
0.089 -5.055 -1.514
0.515 -3.824 3.600
ATOMIC_POSITIONS crystal
Cu 0.624 0.127 0.624
Cu 0.624 0.624 0.624
Cu 0.127 0.624 0.624
Cu 0.624 0.624 0.127
Sm 0.000 0.000 0.000
Er 0.250 0.250 0.250
```

Number 1: final energy -3.397 eV/atom, ρ 8.27 g/cm³, calculated volume 224.7 Å³/cell. Number 2: final energy -5.950 eV/atom, ρ 7.87 g/cm³, calculated volume 76.2 Å³/cell. Number 3: final energy -4.429 eV/atom, ρ 9.13 g/cm³, calculated volume 104.0 Å³/cell.